Entry i
The following is a GGA-PBE calculation of a relaxed TiMn3H crystal, from Alexandria via LeMat-Bulk.

Results
total magnetization = 5.6 μB per formula unit

Unit cell a=3.762 b=3.762 c=3.762 alpha=90.00 beta=90.00 gamma=90.00
Element x y z (fractional)
H 0.000 0.000 0.000
Mn 0.000 0.500 0.000
Mn 0.000 0.000 0.500
Mn 0.500 0.000 0.000
Ti 0.500 0.500 0.500

Entry ii
The following is a GGA-PBE calculation of a relaxed TiMn3H crystal, from Alexandria via LeMat-Bulk.

Results
total magnetization = 8.8 μB per formula unit

Unit cell a=4.572 b=4.572 c=4.572 alpha=90.00 beta=90.00 gamma=90.00
Element x y z (fractional)
H 0.500 0.500 0.500
Mn 0.000 0.500 0.000
Mn 0.000 0.000 0.500
Mn 0.500 0.000 0.000
Ti 0.000 0.000 0.000

entry i is the most stable structure shown above.